A plane-wave DFT calculation with PBEsol was carried out for a geometry-optimized InMo2Ru structure.

Properties
crystal system: orthorhombic
density of states at the Fermi level: 0.87 states/eV per atom
ρ: 10.77 g/cm³
SG: Pmmm
ΔE_f: 257 meV per atom
E: -8.92 eV/atom

Cell: 3.2068 4.2852 4.5740 Å, 90.00 90.00 90.00°
Closest atoms and distances in Å follow each position.
Element x y z (fractional)
In  0.0000  0.0000  0.0000  4 Ru 2.68, 4 Mo 2.79
Mo  0.0000  0.5000  0.5000  4 Mo 2.68, 4 Ru 2.79
Mo  0.5000  0.0000  0.5000  4 Mo 2.68, 4 In 2.79
Ru  0.5000  0.5000  0.0000  4 In 2.68, 4 Mo 2.79

***

A plane-wave DFT calculation with PBEsol was carried out for a geometry-optimized CaP2 structure.

Properties
crystal system: monoclinic
density of states at the Fermi level: 0.16 states/eV per atom
ρ: 2.90 g/cm³
SG: C2/m
ΔE_f: -738 meV per atom
E: -5.31 eV/atom

Cell: 16.4205 3.6819 3.8676 Å, 90.00 92.68 90.00°
Closest atoms and distances in Å follow each position.
Element x y z (fractional)
Ca  0.1106  0.0000  0.2737  10 P 2.93-3.01
Ca  0.3894  0.5000  0.7263  10 P 2.93-3.01
Ca  0.6106  0.5000  0.2737  10 P 2.93-3.01
Ca  0.8894  0.0000  0.7263  10 P 2.93-3.01
P  0.0343  0.5000  0.7567  2 P 2.24
P  0.2479  0.0000  0.8155  2 P 2.33
P  0.2521  0.5000  0.1845  2 P 2.33
P  0.4657  0.0000  0.2433  2 P 2.24
P  0.5343  0.0000  0.7567  2 P 2.24
P  0.7479  0.5000  0.8155  2 P 2.33
P  0.7521  0.0000  0.1845  2 P 2.33
P  0.9657  0.5000  0.2433  2 P 2.24

***

A plane-wave DFT calculation with PBEsol was carried out for a geometry-optimized LiCd structure.

Properties
crystal system: tetragonal
density of states at the Fermi level: 0.30 states/eV per atom
ρ: 5.56 g/cm³
SG: I4_1/amd
ΔE_f: -262 meV per atom
E: -1.84 eV/atom

Cell: 4.1827 4.1827 8.1526 Å, 90.00 90.00 90.00°
Closest atoms and distances in Å follow each position.
Element x y z (fractional)
Li  0.0000  0.2500  0.3750  8 Cd 2.92-2.96, 4 Li 2.92
Li  0.0000  0.7500  0.6250  8 Cd 2.92-2.96, 4 Li 2.92
Li  0.5000  0.2500  0.1250  8 Cd 2.92-2.96, 4 Li 2.92
Li  0.5000  0.7500  0.8750  8 Cd 2.92-2.96, 4 Li 2.92
Cd  0.0000  0.2500  0.8750  4 Cd 2.92, 8 Li 2.92-2.96
Cd  0.0000  0.7500  0.1250  4 Cd 2.92, 8 Li 2.92-2.96
Cd  0.5000  0.2500  0.6250  4 Cd 2.92, 8 Li 2.92-2.96
Cd  0.5000  0.7500  0.3750  4 Cd 2.92, 8 Li 2.92-2.96